Sr3Mn2NbO8: relaxed, PBE+U.

a b c (Å): 5.7480 5.7480 7.3824
angles (deg): 90.00 90.00 120.00
Closest atoms and distances in Å follow each position.
Positions (direct):
1 Mn 0.3333 0.6667 0.1917  4 O 1.86-2.02
2 O 0.3333 0.6667 0.9401  1 Mn 1.86
3 O 0.3244 0.1622 0.6618  1 Nb 2.01, 1 Mn 2.02
4 O 0.8378 0.6756 0.6618  1 Nb 2.01, 1 Mn 2.02
5 Nb 0.0000 0.0000 0.5000  6 O 2.01
6 O 0.8378 0.1622 0.6618  1 Nb 2.01, 1 Mn 2.02
7 O 0.1622 0.8378 0.3382  1 Nb 2.01, 1 Mn 2.02
8 Sr 0.3333 0.6667 0.6303  1 O 2.29
9 Mn 0.6667 0.3333 0.8083  4 O 1.86-2.02
10 Sr 0.0000 0.0000 0.0000  6 O 2.97
11 O 0.6667 0.3333 0.0599  1 Mn 1.86
12 Sr 0.6667 0.3333 0.3697  1 O 2.29
13 O 0.6756 0.8378 0.3382  1 Nb 2.01, 1 Mn 2.02
14 O 0.1622 0.3244 0.3382  1 Nb 2.01, 1 Mn 2.02

N(E_F) ... 0.5355 states/eV/atom
Crystal system ... trigonal
Final energy ... -101.734 eV per cell